# 1
This record from the Open Quantum Materials Database describes an optimized crystal structure of YMgZn. The functional is PBE.

Summary:
Its theoretical density is 3.99 Mg/m³. The excess energy over the best structure of this formula in the dataset comes out at 0.3023 eV per atom.

Cell lengths 3.7294, 3.7293, 12.3451 Å; angles 90.00, 90.00, 120.00 degrees
Positions (direct):
Mg  0.6667  0.3333  0.1843
Mg  0.6667  0.3333  0.4591
Y  0.3333  0.6667  0.6594
Y  0.0000  0.0000  0.9832
Zn  0.0000  0.0000  0.3226
Zn  0.6667  0.3333  0.8206

# 2
This record from the Open Quantum Materials Database describes an optimized crystal structure of YMgZn. The functional is PBE.

Summary:
Its theoretical density is 3.91 Mg/m³. The excess energy over the best structure of this formula in the dataset comes out at 0.2176 eV per atom.

Cell lengths 4.6220, 4.6220, 8.2014 Å; angles 90.00, 90.00, 120.00 degrees
Positions (direct):
Mg  0.6667  0.3333  0.2382
Mg  0.6667  0.3333  0.7618
Y  0.3333  0.6667  0.0000
Y  0.0000  0.0000  0.5000
Zn  0.3333  0.6667  0.3447
Zn  0.3333  0.6667  0.6553

> What is the formula in the first record?

YMgZn

> Which formula does entry 1 have?

YMgZn

> theoretical density of number 2 (YMgZn)?

3.91 Mg/m³